Record 1
A plane-wave DFT calculation with PBE-GGA was carried out for a relaxed structure of CuNiSe2.

Computed properties:
ΔE_f (raw)   -14.54 kJ per mole of atoms
Space group   Pna2_1
Total DFT energy (no corrections)   -0.1603 Ha/atom

a b c (Å): 6.4572 7.4203 6.6256
angles (deg): 90.00 90.00 90.00
Sites, in units of the cell vectors:
Ni: 0.0812 0.8730 0.9888
Ni: 0.9188 0.1270 0.4888
Ni: 0.4188 0.3730 0.4888
Ni: 0.5812 0.6270 0.9888
Cu: 0.0855 0.3770 0.9913
Cu: 0.9145 0.6230 0.4913
Cu: 0.4145 0.8770 0.4913
Cu: 0.5855 0.1230 0.9913
Se: 0.4070 0.8672 0.1297
Se: 0.5930 0.1328 0.6297
Se: 0.0930 0.3672 0.6297
Se: 0.9070 0.6328 0.1297
Se: 0.0757 0.8828 0.6400
Se: 0.9243 0.1172 0.1400
Se: 0.4243 0.3828 0.1400
Se: 0.5757 0.6172 0.6400

---

Record 2
A plane-wave DFT calculation with PBE-GGA was carried out for a relaxed structure of SrRe2Au.

Computed properties:
Space group   Pmmm
Calculated formation energy   824 meV/atom
Total DFT energy (no corrections)   -0.2440 Ha/atom

a b c (Å): 2.8860 4.9093 5.3690
angles (deg): 90.00 90.00 90.00
Sites, in units of the cell vectors:
Au: 0.0000 0.5000 0.5000
Re: 0.0000 0.0000 0.0000
Re: 0.5000 0.5000 0.0000
Sr: 0.5000 0.0000 0.5000

---

Record 3
A plane-wave DFT calculation with PBE-GGA was carried out for a relaxed structure of NaBi3O6.

Computed properties:
ΔE_f (raw)   -101.60 kJ per mole of atoms
Space group   Cmmm
Total DFT energy (no corrections)   -0.1957 Ha/atom

a b c (Å): 3.4656 7.1838 7.1838
angles (deg): 111.25 90.00 90.00
Sites, in units of the cell vectors:
Na: 0.0000 0.5000 0.5000
Bi: 0.5000 0.5000 0.0000
Bi: 0.0000 0.0000 0.0000
Bi: 0.5000 0.0000 0.5000
O: 0.0000 0.0745 0.3390
O: 0.0000 0.9255 0.6610
O: 0.0000 0.3390 0.0745
O: 0.0000 0.6610 0.9255
O: 0.5000 0.6819 0.3181
O: 0.5000 0.3181 0.6819

---

Record 4
A plane-wave DFT calculation with PBE-GGA was carried out for a relaxed structure of LaCoNi2.

Computed properties:
Space group   I-4m2
Calculated formation energy   144 meV/atom
Total DFT energy (no corrections)   -0.2115 Ha/atom

a b c (Å): 4.7267 4.7267 4.7267
angles (deg): 129.69 129.69 73.90
Each line ends with the local moment (μB).
Sites, in units of the cell vectors:
Co: 0.5000 0.5000 0.0000  0.57
La: 0.7500 0.2500 0.5000  -0.05
Ni: 0.0000 0.0000 0.0000  0.04
Ni: 0.2500 0.7500 0.5000  0.11

---

Record 5
A plane-wave DFT calculation with PBE-GGA was carried out for a relaxed structure of Zn2RuW.

Computed properties:
Space group   Cmm2
Calculated formation energy   159 meV/atom
Total DFT energy (no corrections)   -0.2218 Ha/atom

a b c (Å): 2.7245 2.7245 8.8661
angles (deg): 90.00 90.00 113.77
Sites, in units of the cell vectors:
Ru: 0.0000 0.0000 0.5004
W: 0.5000 0.5000 0.7433
Zn: 0.0000 0.0000 0.0034
Zn: 0.5000 0.5000 0.2530

---

Record 6
A plane-wave DFT calculation with PBE-GGA was carried out for a relaxed structure of BaZnSnF6.

Computed properties:
ΔE_f (raw)   -270.80 kJ per mole of atoms
Space group   P3
Total DFT energy (no corrections)   -0.1784 Ha/atom

a b c (Å): 5.9581 5.9580 4.6499
angles (deg): 90.01 89.99 59.96
Sites, in units of the cell vectors:
Ba: 0.9999 0.0001 0.1335
Zn: 0.3333 0.3334 0.4979
Sn: 0.6666 0.6667 0.5805
F: 0.9859 0.4531 0.2501
F: 0.2325 0.0873 0.6793
F: 0.6801 0.2324 0.6793
F: 0.0872 0.6804 0.6791
F: 0.4534 0.5610 0.2501
F: 0.5611 0.9856 0.2501

---

Record 7
A plane-wave DFT calculation with PBE-GGA was carried out for a relaxed structure of SrLa2W.

Computed properties:
Space group   P4/mmm
Calculated formation energy   821 meV/atom
Total DFT energy (no corrections)   -0.1948 Ha/atom

a b c (Å): 5.1199 5.1199 4.5019
angles (deg): 90.00 90.00 90.00
Each line ends with the local moment (μB).
Sites, in units of the cell vectors:
La: 0.0000 0.0000 0.0000  -0.01
La: 0.5000 0.5000 0.0000  -0.01
Sr: 0.5000 0.0000 0.5000  -0.01
W: 0.0000 0.5000 0.5000  0.47

---

Record 8
A plane-wave DFT calculation with PBE-GGA was carried out for a relaxed structure of Sn2IrF.

Computed properties:
ΔE_f (raw)   -59.90 kJ per mole of atoms
Space group   Fm-3m
Total DFT energy (no corrections)   -0.1950 Ha/atom

a b c (Å): 4.6277 4.6277 4.6277
angles (deg): 60.00 60.00 60.00
Sites, in units of the cell vectors:
Ir: 0.5000 0.5000 0.5000
Sn: 0.2500 0.2500 0.2500
Sn: 0.7500 0.7500 0.7500
F: 0.0000 0.0000 0.0000

---

Record 9
A plane-wave DFT calculation with PBE-GGA was carried out for a relaxed structure of Ce2Sc2Ga3.

Computed properties:
Space group   Cmmm
Calculated formation energy   -437 meV/atom
Total DFT energy (no corrections)   -0.1925 Ha/atom

a b c (Å): 4.0919 3.0741 11.6581
angles (deg): 90.00 79.89 90.00
Sites, in units of the cell vectors:
Ce: 0.7090 0.5000 0.5820
Ce: 0.2910 0.5000 0.4180
Sc: 0.5668 0.5000 0.8664
Sc: 0.4332 0.5000 0.1336
Ga: 0.8723 0.0000 0.2555
Ga: 0.0000 0.0000 0.0000
Ga: 0.1277 0.0000 0.7445

---

Record 10
A plane-wave DFT calculation with PBE-GGA was carried out for a relaxed structure of Cd12Sb5As3.

Computed properties:
ΔE_f (raw)   4.76 kJ per mole of atoms
Space group   Ia-3d
Total DFT energy (no corrections)   -0.0819 Ha/atom

a b c (Å): 14.4660 14.4660 14.4660
angles (deg): 109.47 109.47 109.47
Sites, in units of the cell vectors:
As: 0.7500 0.3750 0.1250
As: 0.8750 0.7500 0.1250
As: 0.3750 0.7500 0.6250
As: 0.2500 0.1250 0.3750
As: 0.8750 0.1250 0.2500
As: 0.3750 0.6250 0.2500
As: 0.6250 0.3750 0.7500
As: 0.1250 0.8750 0.7500
As: 0.7500 0.8750 0.6250
As: 0.6250 0.2500 0.3750
As: 0.1250 0.2500 0.8750
As: 0.2500 0.6250 0.8750
Sb: 0.1250 0.3750 0.2500
Sb: 0.0000 0.5000 0.0000
Sb: 0.0000 0.0000 0.0000
Sb: 0.3750 0.2500 0.1250
Sb: 0.5000 0.0000 0.5000
Sb: 0.5000 0.5000 0.0000
Sb: 0.1250 0.7500 0.3750
Sb: 0.7500 0.1250 0.8750
Sb: 0.7500 0.6250 0.3750
Sb: 0.3750 0.1250 0.7500
Sb: 0.6250 0.8750 0.2500
Sb: 0.5000 0.5000 0.5000
Sb: 0.5000 0.0000 0.0000
Sb: 0.0000 0.0000 0.5000
Sb: 0.2500 0.3750 0.6250
Sb: 0.2500 0.8750 0.1250
Sb: 0.0000 0.5000 0.5000
Sb: 0.8750 0.2500 0.6250
Sb: 0.6250 0.7500 0.8750
Sb: 0.8750 0.6250 0.7500
Cd: 0.7380 0.1306 0.0633
Cd: 0.3253 0.5633 0.4327
Cd: 0.9367 0.3694 0.2620
Cd: 0.5633 0.2380 0.1306
Cd: 0.6074 0.7380 0.6747
Cd: 0.9367 0.5673 0.1747
Cd: 0.3253 0.7620 0.3926
Cd: 0.0673 0.8926 0.1306
Cd: 0.5673 0.9367 0.6747
Cd: 0.7380 0.6074 0.1747
Cd: 0.7620 0.4367 0.3694
Cd: 0.8253 0.9327 0.0633
Cd: 0.1306 0.7380 0.5633
Cd: 0.3694 0.4327 0.1074
Cd: 0.1074 0.9327 0.3694
Cd: 0.3926 0.1306 0.5673
Cd: 0.1074 0.1747 0.2380
Cd: 0.4367 0.6747 0.0673
Cd: 0.8253 0.8926 0.2620
Cd: 0.1306 0.3926 0.0673
Cd: 0.3694 0.9367 0.7620
Cd: 0.5673 0.6306 0.3926
Cd: 0.9327 0.8253 0.5633
Cd: 0.7620 0.3253 0.8926
Cd: 0.4327 0.3694 0.6074
Cd: 0.0673 0.1747 0.4367
Cd: 0.2380 0.6747 0.1074
Cd: 0.1747 0.1074 0.7380
Cd: 0.6306 0.0633 0.2380
Cd: 0.8694 0.6074 0.9327
Cd: 0.5633 0.3253 0.9327
Cd: 0.6074 0.8694 0.4327
Cd: 0.8926 0.8253 0.7620
Cd: 0.8926 0.0673 0.6306
Cd: 0.8694 0.2620 0.4367
Cd: 0.1747 0.0673 0.9367
Cd: 0.6306 0.5673 0.8926
Cd: 0.4327 0.0633 0.3253
Cd: 0.2620 0.3926 0.8253
Cd: 0.2380 0.5633 0.6306
Cd: 0.9327 0.1074 0.8694
Cd: 0.6747 0.2380 0.6074
Cd: 0.4367 0.7620 0.8694
Cd: 0.0633 0.4327 0.8253
Cd: 0.3926 0.2620 0.3253
Cd: 0.0633 0.6306 0.7380
Cd: 0.6747 0.4367 0.5673
Cd: 0.2620 0.8694 0.9367

---

Record 11
A plane-wave DFT calculation with PBE-GGA was carried out for a relaxed structure of Zr3ReH.

Computed properties:
Space group   Pm-3m
Total DFT energy (no corrections)   -0.3038 Ha/atom

a b c (Å): 4.3746 4.3746 4.3746
angles (deg): 90.00 90.00 90.00
Sites, in units of the cell vectors:
Re: 0.5000 0.5000 0.5000
Zr: 0.0000 0.5000 0.0000
Zr: 0.0000 0.0000 0.5000
Zr: 0.5000 0.0000 0.0000
H: 0.0000 0.0000 0.0000

---

Record 12
A plane-wave DFT calculation with PBE-GGA was carried out for a relaxed structure of SrLi2ReH.

Computed properties:
Space group   P4/mmm
Total DFT energy (no corrections)   -0.1359 Ha/atom

a b c (Å): 4.6970 3.6697 4.6970
angles (deg): 90.00 90.00 90.00
Each line ends with the local moment (μB).
Sites, in units of the cell vectors:
Re: 0.0000 0.5000 0.0000  0.60
Li: 0.0000 0.0000 0.5000  -0.02
Li: 0.5000 0.0000 0.0000  -0.01
H: 0.0000 0.0000 0.0000  0.00
Sr: 0.5000 0.5000 0.5000  -0.03

---

Record 13
A plane-wave DFT calculation with PBE-GGA was carried out for a relaxed structure of InCBr.

Computed properties:
ΔE_f (raw)   70.76 kJ per mole of atoms
Space group   Imm2
Total DFT energy (no corrections)   -0.1401 Ha/atom

a b c (Å): 3.8333 10.5908 6.3497
angles (deg): 90.00 90.00 90.00
Sites, in units of the cell vectors:
C: 0.0000 0.6830 0.7541
C: 0.0000 0.3170 0.7541
C: 0.5000 0.1830 0.2541
C: 0.5000 0.8170 0.2541
Br: 0.0000 0.0000 0.6782
Br: 0.5000 0.5000 0.1782
Br: 0.0000 0.5000 0.6347
Br: 0.5000 0.0000 0.1347
In: 0.0000 0.2146 0.4333
In: 0.0000 0.7854 0.4333
In: 0.5000 0.7146 0.9333
In: 0.5000 0.2854 0.9333

---

Record 14
A plane-wave DFT calculation with PBE-GGA was carried out for a relaxed structure of PmAgBi2.

Computed properties:
Space group   R-3m
Calculated formation energy   -104 meV/atom
Total DFT energy (no corrections)   -0.1450 Ha/atom

a b c (Å): 3.5745 3.5745 11.1541
angles (deg): 80.78 80.78 60.00
Sites, in units of the cell vectors:
Bi: 0.0849 0.0849 0.7452
Bi: 0.9151 0.9151 0.2548
Ag: 0.0000 0.0000 0.0000
Pm: 0.5000 0.5000 0.5000

---

Record 15
A plane-wave DFT calculation with PBE-GGA was carried out for a relaxed structure of GdTmTlZn.

Computed properties:
Space group   F-43m
Calculated formation energy   -332 meV/atom
Total DFT energy (no corrections)   -0.2161 Ha/atom

a b c (Å): 5.2121 5.2121 5.2121
angles (deg): 60.00 60.00 60.00
Each line ends with the local moment (μB).
Sites, in units of the cell vectors:
Gd: 0.7500 0.7500 0.7500  7.20
Tl: 0.5000 0.5000 0.5000  -0.01
Tm: 0.2500 0.2500 0.2500  0.22
Zn: 0.0000 0.0000 0.0000  0.01

---

Record 16
A plane-wave DFT calculation with PBE-GGA was carried out for a relaxed structure of ZrSbAs2.

Computed properties:
ΔE_f (raw)   -28.36 kJ per mole of atoms
Space group   R-3m
Total DFT energy (no corrections)   -0.2126 Ha/atom

a b c (Å): 7.3690 7.3690 7.3690
angles (deg): 30.39 30.39 30.39
Sites, in units of the cell vectors:
Sb: 0.7500 0.7500 0.7500
As: 0.9976 0.9976 0.9976
As: 0.5024 0.5024 0.5024
Zr: 0.2500 0.2500 0.2500

---

Record 17
A plane-wave DFT calculation with PBE-GGA was carried out for a relaxed structure of Na2SO3.

Computed properties:
ΔE_f (raw)   -109.52 kJ per mole of atoms
Space group   Cmcm
Total DFT energy (no corrections)   -0.1743 Ha/atom

a b c (Å): 5.6076 5.6076 6.3709
angles (deg): 90.00 90.00 112.49
Sites, in units of the cell vectors:
Na: 0.3119 0.6881 0.2500
Na: 0.9999 0.9999 0.5000
Na: 0.0001 0.0001 0.0000
Na: 0.6881 0.3119 0.7500
S: 0.3630 0.6370 0.7500
S: 0.6370 0.3630 0.2500
O: 0.1989 0.8011 0.7500
O: 0.1232 0.3557 0.7498
O: 0.6443 0.8768 0.7502
O: 0.3557 0.1232 0.2502
O: 0.8768 0.6443 0.2498
O: 0.8011 0.1989 0.2500

---

Record 18
A plane-wave DFT calculation with PBE-GGA was carried out for a relaxed structure of SrMnTl2.

Computed properties:
Space group   C2/m
Calculated formation energy   155 meV/atom
Total DFT energy (no corrections)   -0.1375 Ha/atom

a b c (Å): 8.3341 4.9169 4.6037
angles (deg): 90.08 56.35 126.02
Each line ends with the local moment (μB).
Sites, in units of the cell vectors:
Mn: 0.0000 0.5000 0.5000  4.11
Sr: 0.5000 0.5000 0.0000  -0.02
Tl: 0.0000 0.0000 0.0000  -0.04
Tl: 0.5000 0.0000 0.5000  -0.04

---

Record 19
A plane-wave DFT calculation with PBE-GGA was carried out for a relaxed structure of Ac2Al2Cd3.

Computed properties:
Space group   Cmmm
Calculated formation energy   -203 meV/atom
Total DFT energy (no corrections)   -0.1043 Ha/atom

a b c (Å): 3.7789 4.5094 11.8519
angles (deg): 100.97 90.00 90.00
Sites, in units of the cell vectors:
Ac: 0.0000 0.8439 0.6878
Ac: 0.0000 0.1561 0.3122
Al: 0.5000 0.7216 0.4432
Al: 0.5000 0.2784 0.5568
Cd: 0.5000 0.5650 0.1300
Cd: 0.5000 0.4350 0.8700
Cd: 0.0000 0.0000 0.0000

---

Record 20
A plane-wave DFT calculation with PBE-GGA was carried out for a relaxed structure of BaSr2PPb.

Computed properties:
Space group   P4/mmm
Calculated formation energy   -658 meV/atom
Total DFT energy (no corrections)   -0.1300 Ha/atom

a b c (Å): 5.8122 5.8122 6.2185
angles (deg): 90.00 90.00 90.00
Sites, in units of the cell vectors:
Pb: 0.5000 0.5000 0.5000
Sr: 0.0000 0.5000 0.0000
Sr: 0.5000 0.0000 0.0000
Ba: 0.0000 0.0000 0.5000
P: 0.0000 0.0000 0.0000